KReF3 | PBE | relaxed

Structure (extended XYZ):
```
5
Lattice="-0.180 4.603 0.482 -2.528 -0.502 3.848 3.877 -0.113 2.532" Properties=species:S:1:pos:R:3 pbc="T T T"
Re 0.584 1.994 3.431
K 0.000 0.000 0.000
F -1.264 -0.251 1.924
F 1.938 -0.057 1.266
F -0.090 2.302 0.241
```

Values from the calculation:
- SG: Pm-3m (221)
- Distance to the lowest polymorph of the same formula: 1030 meV/atom
- Crystal system: cubic

***

La6RuPb2O | PBE | relaxed

Structure (extended XYZ):
```
20
Lattice="7.566 0.000 0.000 0.000 7.566 0.000 0.000 0.000 10.698" Properties=species:S:1:pos:R:3 pbc="T T T"
La 3.783 1.900 2.762
La 3.783 1.900 7.936
La 0.000 5.666 2.587
La 0.000 5.666 8.111
La 1.952 0.055 5.349
La 5.613 0.055 5.349
La 1.954 3.715 5.349
La 5.612 3.715 5.349
La 5.736 3.851 0.000
La 1.829 3.851 0.000
La 1.831 7.511 0.000
La 5.735 7.511 0.000
Ru 0.000 5.665 5.349
Ru 3.783 1.901 0.000
Pb 3.783 5.678 2.675
Pb 0.000 1.888 8.024
Pb 3.783 5.678 8.023
Pb 0.000 1.888 2.674
O 3.783 1.873 5.349
O 0.000 5.693 0.000
```

Values from the calculation:
- DFT total energy: -5.977 eV per atom
- SG: Pmmn (59)
- Crystal system: orthorhombic

***

Sm2HoAl3 | PBE | relaxed

Structure (extended XYZ):
```
6
Lattice="-0.316 -3.308 1.470 3.547 -0.578 -0.538 2.195 4.211 9.945" Properties=species:S:1:pos:R:3 pbc="T T T"
Sm 3.437 1.551 8.717
Sm 1.990 -1.225 2.161
Ho 2.713 0.163 5.439
Al 0.000 0.000 0.000
Al 1.444 2.769 6.540
Al 0.752 1.442 3.406
```

Values from the calculation:
- Formation enthalpy at 0 K: -382 meV per atom
- SG: P4/mmm (123)
- Crystal system: tetragonal

***

Pr2BeSiRh6 | PBE | relaxed

Structure (extended XYZ):
```
10
Lattice="-0.539 -2.595 -5.655 -4.160 -4.071 2.264 -5.629 -0.536 -2.674" Properties=species:S:1:pos:R:3 pbc="T T T"
Pr -4.259 -3.232 -5.012
Pr -6.070 -3.970 -1.053
Be -2.350 -3.333 -1.696
Si 0.000 0.000 0.000
Rh -3.942 -1.975 -2.170
Rh -3.490 -4.950 -2.519
Rh -3.228 -3.691 0.226
Rh -7.100 -3.510 -6.291
Rh -6.838 -2.252 -3.546
Rh -6.387 -5.227 -3.895
```

Values from the calculation:
- DFT total energy: -6.883 eV per atom
- SG: Immm (71)
- Crystal system: orthorhombic

***

CdAg3Au3 | PBE | relaxed

Structure (extended XYZ):
```
14
Lattice="7.554 0.000 0.000 0.000 7.554 0.000 0.000 0.000 7.554" Properties=species:S:1:pos:R:3 pbc="T T T"
Au 0.000 1.889 3.777
Au 0.000 5.666 3.777
Au 3.777 0.000 5.666
Au 5.666 3.777 0.000
Au 3.777 0.000 1.889
Au 1.889 3.777 0.000
Ag 1.889 0.000 3.777
Ag 0.000 3.777 1.889
Ag 3.777 5.666 0.000
Ag 5.666 0.000 3.777
Ag 0.000 3.777 5.666
Ag 3.777 1.889 0.000
Cd 3.777 3.777 3.777
Cd 0.000 0.000 0.000
```

Values from the calculation:
- Formation enthalpy at 0 K: 580 meV per atom
- SG: Pm-3n (223)
- Distance to the lowest polymorph of the same formula: 658 meV/atom
- Crystal system: cubic